Computed, not measured: a relaxed ReTcCl2 crystal at the PBE level of DFT.

Properties
Distance to the lowest polymorph of the same formula (meV/atom): 612
ΔE_f (raw) (meV per atom): 461.3
Electronic total energy (eV per atom): -6.166

a b c (Å): 13.0711 2.8753 4.6346
angles (deg): 90.00 96.30 90.00
With the nearest neighbours (Å) after each atom.
Space group C2/m (No. 12)
Inequivalent atoms, fractional coordinates:
1 Re 0.0000 0.0000 0.0000 x2  2 Cl 2.38
2 Tc 0.0000 0.5000 0.5000 x2  4 Cl 2.46, 4 Re 2.73
3 Cl 0.1409 0.0000 0.7145 x4  1 Re 2.38, 2 Tc 2.46